12
Lattice="-3.5345 2.1464 1.4964 -3.1770 -7.4195 3.1386 6.8113 2.1352 6.5640" Properties=species:S:1:pos:R:3 comment="PBE DyHo2Ag3Te6, optimized geometry" formation_energy_uncorrected_ev_per_atom=-0.827 spacegroup=C2/m total_energy_ev_per_atom=-4.257 density_g_cm3=7.5 pbc="T T T"
Ag 0.9912 1.8588 6.1370
Ag -3.3557 -2.6366 2.3175
Ag -0.8913 -4.9967 5.0620
Te -1.9391 -2.1620 4.9829
Te 0.4235 -4.7136 7.7616
Te -0.3236 1.5757 3.4374
Te 2.4732 2.4089 8.8485
Te -2.3734 -5.5468 2.3505
Te 2.0390 -0.9759 6.2162
Ho 0.6488 -1.3576 3.4799
Ho -0.5489 -1.7803 7.7191
Dy -1.7672 1.0732 0.7482


4
Lattice="-0.4643 2.9456 -1.8914 -3.3359 0.2060 1.1397 2.6488 4.8349 6.8796" Properties=species:S:1:pos:R:3 comment="PBE DyHoTmAg, optimized geometry" e_form_kj_per_mol_atoms=-13 spacegroup=P4mm total_energy_ev_per_atom=-4.261 density_g_cm3=9.1 pbc="T T T"
Ho 0.1838 5.3795 5.0366
Tm -0.9529 3.3046 2.0841
Dy 0.1939 0.3540 0.5037
Ag 1.5023 2.7422 3.9019


4
Lattice="-0.6096 -1.3868 -5.1185 -0.9846 -5.0857 -1.2882 -4.8136 -1.4060 -1.8292" Properties=species:S:1:pos:R:3 comment="PBE DyHoTmAg, optimized geometry" e_form_kj_per_mol_atoms=5 spacegroup=F-43m total_energy_ev_per_atom=-4.076 density_g_cm3=9.3 pbc="T T T"
Ag -1.6020 -1.9696 -2.0590
Tm -4.8059 -5.9089 -6.1769
Ho -3.2039 -3.9393 -4.1180
Dy 0.0000 0.0000 0.0000


4
Lattice="-3.4754 3.0584 -2.1067 -4.7217 -1.7026 -0.8224 -3.8635 1.7660 2.7973" Properties=species:S:1:pos:R:3 comment="PBE DyHoZnAg, optimized geometry" e_form_kj_per_mol_atoms=-31 spacegroup=F-43m total_energy_ev_per_atom=-3.652 density_g_cm3=8.9 pbc="T T T"
Ho 0.0000 0.0000 0.0000
Zn -9.0455 2.3413 -0.0988
Dy -6.0303 1.5609 -0.0658
Ag -3.0152 0.7804 -0.0329


12
Lattice="-1.1884 6.1046 0.5506 -11.6993 -5.5062 0.3975 4.3280 0.1736 7.4170" Properties=species:S:1:pos:R:3 comment="PBE DyAgI4, optimized geometry" formation_energy_uncorrected_ev_per_atom=-0.933 spacegroup=C2/m total_energy_ev_per_atom=-3.209 density_g_cm3=4.3 pbc="T T T"
Dy -5.2580 1.6298 5.9804
Dy -3.3018 -0.8579 2.3848
I -2.3673 2.1259 6.7191
I -10.7015 1.0019 1.1929
I -4.0909 2.1273 2.9836
I 2.1417 -0.2300 7.1723
I -0.6922 -0.4705 3.7227
I -7.8675 1.2424 4.6424
I -6.1925 -1.3540 1.6460
I -4.4688 -1.3554 5.3815
Ag -7.9621 1.4795 1.8098
Ag -0.5977 -0.7076 6.5553


6
Lattice="4.1730 0.0019 0.4055 -0.1112 11.0354 1.0921 -0.4266 -0.3997 4.3922" Properties=species:S:1:pos:R:3 comment="PBE DyAgI, optimized geometry" formation_energy_uncorrected_ev_per_atom=-0.595 spacegroup=P2_1/m total_energy_ev_per_atom=-3.597 density_g_cm3=6.4 pbc="T T T"
Ag 0.9099 10.1465 1.4262
Ag 2.7254 0.4910 4.4636
Dy 2.7942 9.2596 3.7141
Dy 0.8411 1.3779 2.1757
I 0.6507 7.0498 4.1066
I 2.9845 3.5877 1.7832